Material: BeTlBiB2
Method: DFT, PBEsol
State: optimized geometry

Computed properties:
calculated total energy: -3.588 eV per atom
formation energy from the elements: 1.4020 eV per atom
SG: P4/mmm, No. 123
total magnetic moment: 0.0 μB per cell

Cell lengths 4.132, 4.132, 5.087 Å; angles 90.00, 90.00, 90.00 degrees
Sites, in units of the cell vectors:
Be 0.000 0.000 0.000
Tl 0.000 0.000 0.500
Bi 0.500 0.500 0.500
B 0.000 0.500 0.000
B 0.500 0.000 0.000